## a
Computed, not measured: crystalline KRb2Cd2 at its relaxed geometry at the PBE level of DFT.

Summary:
Calculated volume (Å³/atom): 51.99
Mass density (kg/m³): 2778

a b c (Å): 4.9494 7.3898 7.6503
angles (deg): 100.34 108.87 90.00
With the nearest neighbours (Å) after each atom.
Atoms (fractional coordinates):
Cd (0.2817, 0.9167, 0.5635)  2 Cd 2.99
Cd (0.7183, 0.0833, 0.4365)  2 Cd 2.99
Rb (0.3562, 0.4297, 0.7124)  4 Cd 3.74-3.95, 1 Rb 4.10
Rb (0.6438, 0.5703, 0.2876)  4 Cd 3.74-3.95, 1 Rb 4.10
K (0.0000, 0.0000, 0.0000)  6 Cd 3.97-4.24

## b
Computed, not measured: crystalline KRb2Cd2 at its relaxed geometry at the PBE level of DFT.

Summary:
Calculated volume (Å³/atom): 53.27
Mass density (kg/m³): 2711

a b c (Å): 5.8659 5.8659 8.7821
angles (deg): 70.49 70.49 90.00
With the nearest neighbours (Å) after each atom.
Atoms (fractional coordinates):
K (0.0000, 0.0000, 0.0000)  8 Cd 4.39, 8 Rb 4.86
Rb (0.7500, 0.2500, 0.5000)  4 Cd 3.81, 4 Rb 4.15
Cd (0.4076, 0.4076, 0.1849)  1 Cd 2.86
Cd (0.5924, 0.5924, 0.8151)  1 Cd 2.86
Rb (0.2500, 0.7500, 0.5000)  4 Cd 3.81, 4 Rb 4.15

## c
Computed, not measured: crystalline KRb2Cd2 at its relaxed geometry at the PBE level of DFT.

Summary:
Calculated volume (Å³/atom): 50.68
Mass density (kg/m³): 2850

a b c (Å): 5.5791 7.4799 7.4798
angles (deg): 64.88 68.05 68.05
With the nearest neighbours (Å) after each atom.
Atoms (fractional coordinates):
Rb (0.7066, 0.7935, 0.2935)  6 Cd 3.93-4.17, 2 K 4.34
Rb (0.2934, 0.2065, 0.7065)  6 Cd 3.93-4.17, 2 K 4.34
K (0.5000, 0.5000, 0.0000)  4 Cd 3.76
Cd (0.0000, 0.8148, 0.6852)  1 Cd 2.97
Cd (0.0000, 0.1852, 0.3148)  1 Cd 2.97

## d
Computed, not measured: crystalline KRb2Cd2 at its relaxed geometry at the PBE level of DFT.

Summary:
Calculated volume (Å³/atom): 50.34
Mass density (kg/m³): 2869

a b c (Å): 10.9813 10.9813 4.1745
angles (deg): 90.00 90.00 90.00
With the nearest neighbours (Å) after each atom.
Atoms (fractional coordinates):
Cd (0.1567, 0.6567, 0.5000)  6 Rb 3.81-3.86, 2 Cd 4.17
Cd (0.6567, 0.8433, 0.5000)  6 Rb 3.81-3.86, 2 Cd 4.17
Rb (0.3620, 0.8620, 0.0000)  6 Cd 3.81-3.86, 2 Rb 4.17, 2 K 4.25
K (0.5000, 0.5000, 0.0000)  2 K 4.17, 4 Rb 4.25, 8 Cd 4.64
Cd (0.8433, 0.3433, 0.5000)  6 Rb 3.81-3.86, 2 Cd 4.17
K (0.0000, 0.0000, 0.0000)  2 K 4.17, 4 Rb 4.25, 8 Cd 4.64
Rb (0.1380, 0.3620, 0.0000)  6 Cd 3.81-3.86, 2 Rb 4.17, 2 K 4.25
Rb (0.8620, 0.6380, 0.0000)  6 Cd 3.81-3.86, 2 Rb 4.17, 2 K 4.25
Cd (0.3433, 0.1567, 0.5000)  6 Rb 3.81-3.86, 2 Cd 4.17
Rb (0.6380, 0.1380, 0.0000)  6 Cd 3.81-3.86, 2 Rb 4.17, 2 K 4.25

d is the least stable structure shown above.